The following is a DFT calculation (PBE) of a relaxed structure of Sr2LiHgAu.

The structure in CIF format:
```
data_Sr2LiHgAu
_space_group_name_H-M_alt 'P 4/m m m'
_space_group_IT_number 123
_space_group_name_Hall '-P 4 2'
_cell_length_a 6.0238
_cell_length_b 6.0238
_cell_length_c 4.8509
_cell_angle_alpha 90.00
_cell_angle_beta 90.00
_cell_angle_gamma 90.00
loop_
_atom_site_label
_atom_site_type_symbol
_atom_site_fract_x
_atom_site_fract_y
_atom_site_fract_z
Sr1 Sr 0.0000 0.5000 0.0000
Li1 Li 0.0000 0.0000 0.5000
Hg1 Hg 0.5000 0.5000 0.5000
Au1 Au 0.0000 0.0000 0.0000
```

Summary:
ΔH_f (0 K), meV/atom: -382

---

The following is a DFT calculation (PBE) of a relaxed structure of YCd.

The structure in CIF format:
```
data_YCd
_space_group_name_H-M_alt 'P -6 m 2'
_space_group_IT_number 187
_space_group_name_Hall 'P -6 2'
_cell_length_a 3.5590
_cell_length_b 3.5590
_cell_length_c 5.0836
_cell_angle_alpha 90.00
_cell_angle_beta 90.00
_cell_angle_gamma 120.00
loop_
_atom_site_label
_atom_site_type_symbol
_atom_site_fract_x
_atom_site_fract_y
_atom_site_fract_z
Y1 Y 0.0000 0.0000 0.0000
Cd1 Cd 0.6667 0.3333 0.5000
```

Summary:
ΔH_f (0 K), meV/atom: -108

---

The following is a DFT calculation (PBE) of a relaxed structure of BaNd2Pt.

The structure in CIF format:
```
data_BaNd2Pt
_space_group_name_H-M_alt 'R -3 m'
_space_group_IT_number 166
_space_group_name_Hall '-R 3 2"'
_cell_length_a 4.2209
_cell_length_b 4.2209
_cell_length_c 33.2278
_cell_angle_alpha 90.00
_cell_angle_beta 90.00
_cell_angle_gamma 120.00
loop_
_atom_site_label
_atom_site_type_symbol
_atom_site_fract_x
_atom_site_fract_y
_atom_site_fract_z
Ba1 Ba 0.0000 0.0000 0.0000
Nd1 Nd 0.0000 0.0000 0.1205
Pt1 Pt 0.0000 0.0000 0.5000
```

Summary:
ΔH_f (0 K), meV/atom: -390
Polymorph energy (0 for the lowest one), meV/atom: 122.3

---

The following is a DFT calculation (PBE) of a relaxed structure of Tb6ErAl2.

The structure in CIF format:
```
data_Tb6ErAl2
_space_group_name_H-M_alt 'C 1 2/m 1'
_space_group_IT_number 12
_space_group_name_Hall '-C 2y'
_cell_length_a 12.5659
_cell_length_b 3.6758
_cell_length_c 11.7598
_cell_angle_alpha 90.00
_cell_angle_beta 109.04
_cell_angle_gamma 90.00
loop_
_atom_site_label
_atom_site_type_symbol
_atom_site_fract_x
_atom_site_fract_y
_atom_site_fract_z
Tb1 Tb 0.0231 0.0000 0.3284
Tb2 Tb 0.1864 0.5000 0.8765
Tb3 Tb 0.1887 0.5000 0.5886
Er1 Er 0.0000 0.0000 0.0000
Al1 Al 0.1480 0.5000 0.2014
```

Summary:
ΔH_f (0 K), meV/atom: -164
Polymorph energy (0 for the lowest one), meV/atom: 0.0

---

Summary of V in Å³ per cell
176.0; 55.8; 512.7; 513.5
(order as listed above)